1.
LiBeCo2Ge, relaxed, DFT GGA-PBE; E_tot = -23.047 eV for the cell shown; D(E_F) = 0.389 states/eV/atom
1.0
-2.605 0.470 -2.848
2.346 -1.732 -2.433
-1.600 -3.428 0.898
Li Ge Co Be
1 1 2 1
Direct
0.000 0.500 0.000 Li
0.500 0.500 0.500 Ge
0.000 0.000 0.500 Co
0.500 0.000 0.000 Co
0.000 0.000 0.000 Be

2.
Be2Co5GeMo2, relaxed, DFT GGA-PBE; E_tot = -140.955 eV for the cell shown; D(E_F) = 0.784 states/eV/atom
1.0
-2.286 0.312 -1.620
1.483 -7.967 -3.625
-4.981 -3.792 6.296
Co Mo Ge Be
10 4 2 4
Direct
0.500 0.940 0.209 Co
0.500 0.500 0.000 Co
0.500 0.440 0.291 Co
0.500 0.291 0.560 Co
0.500 0.000 0.500 Co
0.500 0.791 0.940 Co
0.500 0.060 0.791 Co
0.500 0.209 0.060 Co
0.500 0.709 0.440 Co
0.500 0.560 0.709 Co
0.000 0.176 0.324 Mo
0.000 0.324 0.824 Mo
0.000 0.676 0.176 Mo
0.000 0.824 0.676 Mo
0.000 0.000 0.000 Ge
0.000 0.500 0.500 Ge
0.000 0.123 0.623 Be
0.000 0.377 0.123 Be
0.000 0.623 0.877 Be
0.000 0.877 0.377 Be

| no. | formation energy from the elements (eV/atom) |
| --- | --- |
| 1 | 0.28 |
| 2 | -0.12 |